Density functional theory data (PBE) for Tb3PrBi4 after structural relaxation.

Unit cell a=7.847 b=7.847 c=4.534 alpha=90.00 beta=90.00 gamma=109.47
Fractional coordinates of all 8 atoms:
Tb 0.000 0.000 0.000
Tb 0.000 0.500 0.500
Tb 0.500 0.000 0.500
Pr 0.500 0.500 0.000
Bi 0.244 0.244 0.500
Bi 0.247 0.753 0.000
Bi 0.753 0.247 0.000
Bi 0.756 0.756 0.500

Results
- Energy of formation: -0.895 eV/atom
- V: 263 Å³/cell
- Final energy: -5.169 eV per atom

Density functional theory data (PBE) for NdDy2Th after structural relaxation.

Unit cell a=3.593 b=3.593 c=11.671 alpha=90.00 beta=90.00 gamma=120.00
Fractional coordinates of all 4 atoms:
Nd 0.000 0.000 0.000
Dy 0.333 0.667 0.253
Dy 0.333 0.667 0.747
Th 0.667 0.333 0.500

Results
- Energy of formation: 0.048 eV/atom
- V: 131 Å³/cell
- Final energy: -5.300 eV per atom